A geometry-optimized Sb2MoPt structure, computed with PBEsol.

Cell: 8.5210 8.5210 8.5210 Å, 21.85 21.85 21.85°
Closest atoms and distances in Å follow each position.
Fractional coordinates of all 4 atoms:
Sb 0.2493 0.2493 0.2493  3 Mo 2.78, 3 Pt 2.80
Sb 0.7507 0.7507 0.7507  3 Mo 2.78, 3 Pt 2.80
Mo 0.5000 0.5000 0.5000  6 Sb 2.78
Pt 0.0000 0.0000 0.0000  6 Sb 2.80

Computed properties:
Its energy relative to the lowest polymorph listed for this composition is 210 meV per atom. The calculation puts the total energy at -0.5018 Ry per atom. Its uncorrected formation energy is 0.13 eV/atom.